The following is a PBE calculation of a relaxed structure of LaZrInNi2, from Alexandria via LeMat-Bulk.

The structure in CIF format:
```
data_LaZrInNi2
_chemical_formula_sum 'La1 Zr1 In1 Ni2'
_cell_length_a 4.752
_cell_length_b 4.752
_cell_length_c 5.526
_cell_angle_alpha 90.00
_cell_angle_beta 90.00
_cell_angle_gamma 90.00
_space_group_name_H-M_alt 'P 4/m m m'
_space_group_IT_number 123
_space_group_name_Hall '-P 4 2'
loop_
_atom_site_label
_atom_site_type_symbol
_atom_site_fract_x
_atom_site_fract_y
_atom_site_fract_z
La1 La 0.000 0.000 0.000
Zr1 Zr 0.500 0.500 0.000
In1 In 0.000 0.000 0.500
Ni1 Ni 0.000 0.500 0.500
```

Its crystal system is tetragonal. For the total magnetization, the calculation gives 0.927 μB/cell. The density of states at the Fermi level is 1.6341 states/eV per atom. The formation energy from the elements comes out at 0.97 eV/atom.



The following is a PBE calculation of a relaxed structure of LaNp2In9, from Alexandria via LeMat-Bulk.

The structure in CIF format:
```
data_LaNp2In9
_chemical_formula_sum 'La1 Np2 In9'
_cell_length_a 4.687
_cell_length_b 4.687
_cell_length_c 14.086
_cell_angle_alpha 90.00
_cell_angle_beta 90.00
_cell_angle_gamma 90.00
_space_group_name_H-M_alt 'P 4/m m m'
_space_group_IT_number 123
_space_group_name_Hall '-P 4 2'
loop_
_atom_site_label
_atom_site_type_symbol
_atom_site_fract_x
_atom_site_fract_y
_atom_site_fract_z
La1 La 0.000 0.000 0.000
Np1 Np 0.000 0.000 0.336
In1 In 0.000 0.500 0.173
In2 In 0.000 0.500 0.500
In3 In 0.500 0.500 0.000
In4 In 0.500 0.500 0.336
```

Its crystal system is tetragonal. For the total magnetization, the calculation gives 8.553 μB/cell. The density of states at the Fermi level is 2.0656 states/eV per atom. The formation energy from the elements comes out at -0.16 eV/atom.



The following is a PBE calculation of a relaxed structure of LaNpInO6, from Alexandria via LeMat-Bulk.

The structure in CIF format:
```
data_LaNpInO6
_chemical_formula_sum 'La2 Np2 In2 O12'
_cell_length_a 5.5837
_cell_length_b 5.5837
_cell_length_c 10.4684
_cell_angle_alpha 90.00
_cell_angle_beta 90.00
_cell_angle_gamma 120.00
_space_group_name_H-M_alt 'P -3 1 c'
_space_group_IT_number 163
_space_group_name_Hall '-P 3 2c'
loop_
_atom_site_label
_atom_site_type_symbol
_atom_site_fract_x
_atom_site_fract_y
_atom_site_fract_z
La1 La 0.0000 0.0000 0.0000
Np1 Np 0.3333 0.6667 0.2500
In1 In 0.3333 0.6667 0.7500
O1 O 0.0166 0.3622 0.1392
```

Its crystal system is trigonal. For the total magnetization, the calculation gives 2.000 μB/cell. The calculation puts the uncorrected formation energy at -60.9 kcal/mol of atoms.



The following is a PBE calculation of a relaxed structure of LaNpIn2Te4, from Alexandria via LeMat-Bulk.

The structure in CIF format:
```
data_LaNpIn2Te4
_chemical_formula_sum 'La1 Np1 In2 Te4'
_cell_length_a 7.878
_cell_length_b 4.528
_cell_length_c 8.520
_cell_angle_alpha 90.00
_cell_angle_beta 107.85
_cell_angle_gamma 90.00
_space_group_name_H-M_alt 'P 1 2/m 1'
_space_group_IT_number 10
loop_
_space_group_symop_operation_xyz
'x,y,z'
'-x,-y,-z'
'-x,y,-z'
'x,-y,z'
loop_
_atom_site_label
_atom_site_type_symbol
_atom_site_fract_x
_atom_site_fract_y
_atom_site_fract_z
La1 La 0.000 0.000 0.000
Np1 Np 0.500 0.500 0.000
In1 In 0.000 0.500 0.500
In2 In 0.500 0.000 0.500
Te1 Te 0.249 0.500 0.227
Te2 Te 0.268 0.000 0.778
```

Its crystal system is monoclinic. For the total magnetization, the calculation gives 4.009 μB/cell. The density of states at the Fermi level is 0.8212 states/eV per atom. The calculation puts the uncorrected formation energy at -17.6 kcal/mol of atoms.



The following is a PBE calculation of a relaxed structure of LaInO3, from Alexandria via LeMat-Bulk.

The structure in CIF format:
```
data_LaInO3
_chemical_formula_sum 'La2 In2 O6'
_cell_length_a 6.229
_cell_length_b 4.122
_cell_length_c 6.806
_cell_angle_alpha 90.00
_cell_angle_beta 106.13
_cell_angle_gamma 90.00
_space_group_name_H-M_alt 'P 1 21/m 1'
_space_group_IT_number 11
loop_
_space_group_symop_operation_xyz
'x,y,z'
'-x,-y,-z'
'-x,y+1/2,-z'
'x,-y+1/2,z'
loop_
_atom_site_label
_atom_site_type_symbol
_atom_site_fract_x
_atom_site_fract_y
_atom_site_fract_z
La1 La 0.020 0.250 0.246
In1 In 0.493 0.250 0.695
O1 O 0.149 0.250 0.657
O2 O 0.183 0.750 0.099
O3 O 0.440 0.250 0.357
```

Its crystal system is monoclinic. For the total magnetization, the calculation gives 0.000 μB/cell. The density of states at the Fermi level is 0.0000 states/eV per atom. The calculation puts the uncorrected formation energy at -57.0 kcal/mol of atoms.



The following is a PBE calculation of a relaxed structure of LaInO, from Alexandria via LeMat-Bulk.

The structure in CIF format:
```
data_LaInO
_chemical_formula_sum 'La2 In2 O2'
_cell_length_a 3.442
_cell_length_b 3.442
_cell_length_c 10.993
_cell_angle_alpha 90.00
_cell_angle_beta 90.00
_cell_angle_gamma 90.00
_space_group_name_H-M_alt 'P 4/n m m'
_space_group_IT_number 129
loop_
_space_group_symop_operation_xyz
'x,y,z'
'-x,-y,-z'
'-y+1/2,x,z'
'y+1/2,-x,-z'
'-x+1/2,-y+1/2,z'
'x+1/2,y+1/2,-z'
'y,-x+1/2,z'
'-y,x+1/2,-z'
'x+1/2,-y,-z'
'-x+1/2,y,z'
'-y,-x,-z'
'y,x,z'
'-x,y+1/2,-z'
'x,-y+1/2,z'
'y+1/2,x+1/2,-z'
'-y+1/2,-x+1/2,z'
loop_
_atom_site_label
_atom_site_type_symbol
_atom_site_fract_x
_atom_site_fract_y
_atom_site_fract_z
La1 La 0.250 0.250 0.140
In1 In 0.250 0.250 0.599
O1 O 0.250 0.250 0.919
```

Its crystal system is tetragonal. For the total magnetization, the calculation gives 0.000 μB/cell. The density of states at the Fermi level is 0.4442 states/eV per atom. The calculation puts the uncorrected formation energy at -45.2 kcal/mol of atoms. As for the polymorph energy (0 for the lowest one): 139 meV/atom.



The following is a PBE calculation of a relaxed structure of La2InO5, from Alexandria via LeMat-Bulk.

The structure in CIF format:
```
data_La2InO5
_chemical_formula_sum 'La8 In4 O20'
_cell_length_a 4.383
_cell_length_b 11.943
_cell_length_c 11.400
_cell_angle_alpha 90.00
_cell_angle_beta 90.00
_cell_angle_gamma 90.00
_space_group_name_H-M_alt 'C m c m'
_space_group_IT_number 63
_space_group_name_Hall '-C 2c 2'
loop_
_atom_site_label
_atom_site_type_symbol
_atom_site_fract_x
_atom_site_fract_y
_atom_site_fract_z
La1 La 0.000 0.140 0.072
In1 In 0.000 0.175 0.750
O1 O 0.000 0.049 0.616
O2 O 0.000 0.263 0.250
O3 O 0.000 0.285 0.589
```

Its crystal system is orthorhombic. For the total magnetization, the calculation gives 4.279 μB/cell. The density of states at the Fermi level is 0.9994 states/eV per atom. The calculation puts the uncorrected formation energy at -57.0 kcal/mol of atoms.



The following is a PBE calculation of a relaxed structure of La2InO2, from Alexandria via LeMat-Bulk.

The structure in CIF format:
```
data_La2InO2
_chemical_formula_sum 'La4 In2 O4'
_cell_length_a 4.115
_cell_length_b 4.115
_cell_length_c 14.181
_cell_angle_alpha 90.00
_cell_angle_beta 90.00
_cell_angle_gamma 90.00
_space_group_name_H-M_alt 'I 4/m m m'
_space_group_IT_number 139
_space_group_name_Hall '-I 4 2'
loop_
_atom_site_label
_atom_site_type_symbol
_atom_site_fract_x
_atom_site_fract_y
_atom_site_fract_z
La1 La 0.000 0.000 0.165
In1 In 0.000 0.000 0.500
O1 O 0.000 0.500 0.250
```

Its crystal system is tetragonal. For the total magnetization, the calculation gives 1.831 μB/cell. The density of states at the Fermi level is 0.2701 states/eV per atom. The calculation puts the uncorrected formation energy at -56.3 kcal/mol of atoms.



The following is a PBE calculation of a relaxed structure of LaInO3, from Alexandria via LeMat-Bulk.

The structure in CIF format:
```
data_LaInO3
_chemical_formula_sum 'La2 In2 O6'
_cell_length_a 5.8077
_cell_length_b 5.8077
_cell_length_c 5.6179
_cell_angle_alpha 90.00
_cell_angle_beta 90.00
_cell_angle_gamma 120.00
_space_group_name_H-M_alt 'P 63 2 2'
_space_group_IT_number 182
_space_group_name_Hall 'P 6c 2c'
loop_
_atom_site_label
_atom_site_type_symbol
_atom_site_fract_x
_atom_site_fract_y
_atom_site_fract_z
La1 La 0.3333 0.6667 0.2500
In1 In 0.0000 0.0000 0.2500
O1 O 0.0000 0.2970 0.5000
```

Its crystal system is hexagonal. For the total magnetization, the calculation gives 0.000 μB/cell. The density of states at the Fermi level is 0.0000 states/eV per atom. The calculation puts the uncorrected formation energy at -55.1 kcal/mol of atoms.



The following is a PBE calculation of a relaxed structure of LaInO, from Alexandria via LeMat-Bulk.

The structure in CIF format:
```
data_LaInO
_chemical_formula_sum 'La2 In2 O2'
_cell_length_a 4.116
_cell_length_b 4.116
_cell_length_c 8.586
_cell_angle_alpha 90.00
_cell_angle_beta 90.00
_cell_angle_gamma 90.00
_space_group_name_H-M_alt 'P 4/n m m'
_space_group_IT_number 129
loop_
_space_group_symop_operation_xyz
'x,y,z'
'-x,-y,-z'
'-y+1/2,x,z'
'y+1/2,-x,-z'
'-x+1/2,-y+1/2,z'
'x+1/2,y+1/2,-z'
'y,-x+1/2,z'
'-y,x+1/2,-z'
'x+1/2,-y,-z'
'-x+1/2,y,z'
'-y,-x,-z'
'y,x,z'
'-x,y+1/2,-z'
'x,-y+1/2,z'
'y+1/2,x+1/2,-z'
'-y+1/2,-x+1/2,z'
loop_
_atom_site_label
_atom_site_type_symbol
_atom_site_fract_x
_atom_site_fract_y
_atom_site_fract_z
La1 La 0.250 0.250 0.139
In1 In 0.250 0.250 0.578
O1 O 0.250 0.750 0.000
```

Its crystal system is tetragonal. For the total magnetization, the calculation gives 0.000 μB/cell. The density of states at the Fermi level is 0.6362 states/eV per atom. The calculation puts the uncorrected formation energy at -48.4 kcal/mol of atoms. As for the polymorph energy (0 for the lowest one): 0 meV/atom.



The following is a PBE calculation of a relaxed structure of La2InO, from Alexandria via LeMat-Bulk.

The structure in CIF format:
```
data_La2InO
_chemical_formula_sum 'La6 In3 O3'
_cell_length_a 3.8058
_cell_length_b 3.8058
_cell_length_c 24.2924
_cell_angle_alpha 90.00
_cell_angle_beta 90.00
_cell_angle_gamma 120.00
_space_group_name_H-M_alt 'R -3 m'
_space_group_IT_number 166
_space_group_name_Hall '-R 3 2"'
loop_
_atom_site_label
_atom_site_type_symbol
_atom_site_fract_x
_atom_site_fract_y
_atom_site_fract_z
La1 La 0.0000 0.0000 0.2239
In1 In 0.0000 0.0000 0.0000
O1 O 0.0000 0.0000 0.5000
```

Its crystal system is trigonal. For the total magnetization, the calculation gives 0.000 μB/cell. The density of states at the Fermi level is 0.8640 states/eV per atom. The calculation puts the uncorrected formation energy at -35.6 kcal/mol of atoms. As for the polymorph energy (0 for the lowest one): 67 meV/atom.



The following is a PBE calculation of a relaxed structure of La4In2O, from Alexandria via LeMat-Bulk.

The structure in CIF format:
```
data_La4In2O
_chemical_formula_sum 'La8 In4 O2'
_cell_length_a 5.255
_cell_length_b 24.088
_cell_length_c 3.614
_cell_angle_alpha 90.00
_cell_angle_beta 90.00
_cell_angle_gamma 90.00
_space_group_name_H-M_alt 'C m m m'
_space_group_IT_number 65
_space_group_name_Hall '-C 2 2'
loop_
_atom_site_label
_atom_site_type_symbol
_atom_site_fract_x
_atom_site_fract_y
_atom_site_fract_z
La1 La 0.000 0.069 0.000
La2 La 0.000 0.204 0.500
In1 In 0.000 0.340 0.000
O1 O 0.000 0.000 0.500
```

Its crystal system is orthorhombic. For the total magnetization, the calculation gives 0.596 μB/cell. The density of states at the Fermi level is 0.8434 states/eV per atom. The calculation puts the uncorrected formation energy at -19.4 kcal/mol of atoms. As for the polymorph energy (0 for the lowest one): 235 meV/atom.